# 1
DFT (GGA-PBE) results for a geometry-optimized Na2DyYS4 structure.

## Properties
- DFT total energy (eV per cell) = -45.023
- ΔE_f (raw) (eV per atom) = -1.851

Cell lengths 6.9029, 3.9862, 7.0719 Å; angles 90.00, 108.98, 90.00 degrees
Space group P2/m (No. 10)
Unique sites:
Na: 0.0000 0.0000 0.0000 x1
Na: 0.5000 0.5000 0.0000 x1
Dy: 0.0000 0.5000 0.5000 x1
Y: 0.5000 0.0000 0.5000 x1
S: 0.2419 0.0000 0.7267 x2
S: 0.2573 0.5000 0.2730 x2

---

# 2
DFT (GGA-PBE) results for a geometry-optimized K2TmIO6 structure.

## Properties
- DFT total energy (eV per cell) = -327.967
- ΔE_f (raw) (eV per atom) = -1.670

Cell lengths 6.0719, 6.0719, 29.6640 Å; angles 90.00, 90.00, 120.00 degrees
Space group R-3m (No. 166, hexagonal axes)
Unique sites:
K: 0.0000 0.0000 0.1344 x6
K: 0.0000 0.0000 0.2678 x6
Tm: 0.0000 0.0000 0.4007 x6
I: 0.0000 0.0000 0.0000 x3
I: 0.0000 0.0000 0.5000 x3
O: 0.0371 0.5186 0.7034 x18
O: 0.0467 0.5233 0.1271 x18